DFT (PBE) results for an optimized crystal structure of AcCeAgS4.

Results
V, Å³/cell: 334.5
E_tot, eV/atom: -5.648

Cell lengths 6.8154, 6.2138, 8.2765 Å; angles 90.00, 107.39, 90.00 degrees
Fractional positions:
Ac  0.7496  0.7500  0.9425
Ce  0.2426  0.2500  0.5615
S  0.0359  0.5222  0.7380
Ag  0.7595  0.2500  0.6799
S  0.9641  0.4778  0.2620
S  0.5347  0.2500  0.3891
S  0.4653  0.7500  0.6109
S  0.0359  0.9778  0.7380
Ac  0.2504  0.2500  0.0575
S  0.4440  0.7500  0.1194
Ag  0.2405  0.7500  0.3201
S  0.5560  0.2500  0.8806
Ce  0.7574  0.7500  0.4385
S  0.9641  0.0222  0.2620